Ag4Hg2Au3 | GGA-PBE | optimized geometry

Results
The spin magnetization comes out at 0.00 μB per atom. As for the energy relative to the elements: 9 meV/atom. Its symmetry is No. 12. The value obtained for the polymorph energy (0 for the lowest one) is 0 meV/atom. Its crystal system is monoclinic. The final energy is -2.42 eV per atom.

a b c (Å): 5.155 5.155 9.038
angles (deg): 107.10 107.10 48.18
Fractional coordinates of all 9 atoms:
Ag1 0.000 0.000 0.165
Ag2 0.000 0.000 0.835
Ag3 0.333 0.333 0.611
Ag4 0.667 0.667 0.389
Hg1 0.332 0.332 0.277
Hg2 0.668 0.668 0.723
Au1 0.000 0.000 0.500
Au2 0.337 0.337 0.947
Au3 0.663 0.663 0.053